Computed, not measured: crystalline LiSiPb2 at its relaxed geometry at the GGA-PBE level of DFT.

Final energy = -14.17 eV per cell
M_tot = 0.0000 μB per atom
Formation energy (no corrections) = 0.15 eV/atom

extended XYZ file:
```
4
Lattice="5.4694 0.0400 0.0000 1.3827 5.2919 0.0000 -3.4260 -2.6659 3.3273" Properties=species:S:1:pos:R:3 pbc="T T T"
Li 2.7347 0.0200 1.6637
Pb 0.0000 0.0000 0.0000
Pb 3.4260 2.6659 0.0000
Si 0.6913 2.6460 1.6637
```